No. 1
Hf3BPd: optimized geometry, GGA-PBE.

The space group is Pm-3m (No. 221) and the conventional cell measures 4.5252, 4.5252 and 4.5252 Å, with angles of 90.00, 90.00 and 90.00 degrees. The asymmetric unit holds Hf at (0.0000, 0.0000, 0.5000), B at (0.0000, 0.0000, 0.0000) and Pd at (0.5000, 0.5000, 0.5000).

The total energy is -8.599 eV per atom. As for the crystal system: cubic.

No. 2
HfBPd2: optimized geometry, GGA-PBE.

The space group is I-42d (No. 122) and the conventional cell measures 4.9239, 4.9239 and 12.0849 Å, with angles of 90.00, 90.00 and 90.00 degrees. The asymmetric unit holds Hf at (0.0000, 0.0000, 0.0000), B at (0.0000, 0.0000, 0.5000) and Pd at (0.1436, 0.2500, 0.6250).

The total energy is -6.652 eV per atom. As for the crystal system: tetragonal.

No. 3
HfB2Pd: optimized geometry, GGA-PBE.

The space group is I4_1/amd (No. 141, origin choice 2) and the conventional cell measures 3.8481, 3.8481 and 14.7134 Å, with angles of 90.00, 90.00 and 90.00 degrees. The asymmetric unit holds Hf at (0.0000, 0.2500, 0.3750), B at (0.0000, 0.0000, 0.0000) and Pd at (0.0000, 0.2500, 0.8750).

The total energy is -7.026 eV per atom. As for the crystal system: tetragonal.

No. 4
HfBPd: optimized geometry, GGA-PBE.

The space group is C2/m (No. 12) and the conventional cell measures 9.1553, 3.3034 and 6.8993 Å, with angles of 90.00, 127.13 and 90.00 degrees. The asymmetric unit holds Hf at (0.0649, 0.0000, 0.3130), B at (0.1164, 0.5000, 0.6065) and Pd at (0.1977, 0.5000, 0.1242).

The total energy is -7.939 eV per atom. As for the crystal system: monoclinic.

No. 5
HfBPdRh2: optimized geometry, GGA-PBE.

The space group is P4/mmm (No. 123) and the conventional cell measures 4.1404, 4.1404 and 4.2151 Å, with angles of 90.00, 90.00 and 90.00 degrees. The asymmetric unit holds Hf at (0.0000, 0.0000, 0.0000), B at (0.5000, 0.5000, 0.5000), Pd at (0.5000, 0.5000, 0.0000) and Rh at (0.0000, 0.5000, 0.5000).

The total energy is -7.904 eV per atom. As for the crystal system: tetragonal.

No. 6
HfSiB2Pd: optimized geometry, GGA-PBE.

The space group is P4/mmm (No. 123) and the conventional cell measures 4.4098, 4.4098 and 4.9889 Å, with angles of 90.00, 90.00 and 90.00 degrees. The asymmetric unit holds Hf at (0.0000, 0.0000, 0.0000), Si at (0.5000, 0.5000, 0.5000), B at (0.0000, 0.5000, 0.0000) and Pd at (0.0000, 0.0000, 0.5000).

The uncorrected formation energy comes out at 1609 meV per atom. As for the crystal system: tetragonal.

No. 7
HfSnB2Pd: optimized geometry, GGA-PBE.

The space group is P4/mmm (No. 123) and the conventional cell measures 4.4649, 4.4649 and 5.0604 Å, with angles of 90.00, 90.00 and 90.00 degrees. The asymmetric unit holds Hf at (0.0000, 0.0000, 0.0000), Sn at (0.5000, 0.5000, 0.5000), B at (0.0000, 0.5000, 0.0000) and Pd at (0.0000, 0.0000, 0.5000).

The total energy is -5.300 eV per atom. As for the crystal system: tetragonal.

No. 8
HfBTePd2: optimized geometry, GGA-PBE.

The space group is P4/mmm (No. 123) and the conventional cell measures 4.8368, 4.8368 and 5.3676 Å, with angles of 90.00, 90.00 and 90.00 degrees. The asymmetric unit holds Hf at (0.0000, 0.0000, 0.0000), B at (0.5000, 0.5000, 0.0000), Te at (0.0000, 0.0000, 0.5000) and Pd at (0.0000, 0.5000, 0.5000).

The uncorrected formation energy comes out at 1281 meV per atom. As for the crystal system: tetragonal.